Below is a geometry-optimized CdGa2BiCl structure, with properties calculated at the PBE-GGA level.

Cell lengths 5.947, 5.947, 5.890 Å; angles 90.00, 90.00, 90.00 degrees
Space group P4/mmm (No. 123)
Inequivalent atoms, fractional coordinates:
Cd: 0.000 0.000 0.000 [1 per cell]
Ga: 0.000 0.500 0.500 [2 per cell]
Bi: 0.000 0.000 0.500 [1 per cell]
Cl: 0.500 0.500 0.000 [1 per cell]

---

Below is a geometry-optimized Tl3AgSe2O6 structure, with properties calculated at the PBE-GGA level.

Cell lengths 6.1874, 6.1874, 7.3220 Å; angles 90.00, 90.00, 120.00 degrees
Space group P-3m1 (No. 164)
Inequivalent atoms, fractional coordinates:
Tl: 0.0000 0.0000 0.0000 [1 per cell]
Tl: 0.3333 0.6667 0.6505 [2 per cell]
Ag: 0.0000 0.0000 0.5000 [1 per cell]
Se: 0.3333 0.6667 0.1879 [2 per cell]
O: 0.1868 0.3736 0.2874 [6 per cell]

---

Below is a geometry-optimized SiB structure, with properties calculated at the PBE-GGA level.

Cell lengths 9.648, 3.430, 4.436 Å; angles 90.00, 90.00, 90.00 degrees
Space group Pmn2_1 (No. 31)
Inequivalent atoms, fractional coordinates:
Si: 0.000 0.011 0.000 [2 per cell]
Si: 0.187 0.621 0.589 [4 per cell]
B: 0.000 0.492 0.736 [2 per cell]
B: 0.197 0.883 0.143 [4 per cell]

---

Below is a geometry-optimized SnOsS2 structure, with properties calculated at the PBE-GGA level.

Cell lengths 7.168, 7.168, 6.423 Å; angles 90.00, 90.00, 90.00 degrees
Space group I-42d (No. 122)
Inequivalent atoms, fractional coordinates:
Sn: 0.000 0.000 0.000 [4 per cell]
Os: 0.000 0.000 0.500 [4 per cell]
S: 0.156 0.250 0.625 [8 per cell]

---

Formation energy (no corrections)? In order: 235, -713, 438, 42 meV per atom.
DOS(E_F)? In order: 2.86, 0.00, 2.43, 2.33 states/eV/cell.
Total magnetic moment? In order: 0.0, 0.0, 0.0, 0.0 Bohr magnetons per cell.